Record 1
Pr2Ho12Tm5: relaxed, PBE.

## Properties
V	31.55	Å³ per atom
ΔE_f	215.3	kJ/mol of formula units
space group	No. 12
Fermi-level density of states	1.341	states/eV/atom
E_tot	-4.45	eV/atom
total magnetization	0.00	Bohr magnetons per cell

extended XYZ file:
```
19
Lattice="5.7341 9.4525 -1.6539 -5.7341 9.4525 -1.6539 0.0000 3.8049 4.8645" Properties=species:S:1:pos:R:3 pbc="T T T"
Tm 0.0000 7.9127 1.1467
Tm 0.0000 1.9025 2.4322
Tm 0.0000 18.0987 1.6504
Tm 0.0000 14.7973 0.4100
Tm 0.0000 4.6112 -0.0937
Ho 2.9585 6.3374 -0.0548
Ho 3.0163 12.9748 0.0323
Ho 2.9585 16.3726 1.6115
Ho -2.9585 16.3726 1.6115
Ho -2.9585 6.3374 -0.0548
Ho 0.0000 11.0221 2.4842
Ho -3.0163 9.7351 1.5244
Ho 0.0000 5.0530 3.5710
Ho 3.0163 9.7351 1.5244
Ho -3.0163 12.9748 0.0323
Ho 0.0000 11.6878 -0.9275
Ho 0.0000 17.6569 -2.0142
Pr 2.4366 9.4525 -1.6539
Pr -2.4366 9.4525 -1.6539
```

***

Record 2
LaAlTc: relaxed, PBE.

## Properties
V	22.90	Å³ per atom
ΔE_f	35.2	kJ/mol of formula units
space group	No. 216
Fermi-level density of states	1.173	states/eV/atom
relative energy among the computed polymorphs	0.260	eV/atom
E_tot	-6.22	eV/atom
total magnetization	0.00	Bohr magnetons per cell

extended XYZ file:
```
3
Lattice="4.5975 0.0000 0.0000 2.2987 3.9815 0.0000 2.2987 1.3272 3.7538" Properties=species:S:1:pos:R:3 pbc="T T T"
La 4.5975 2.6543 1.8769
Al 0.0000 0.0000 0.0000
Tc 6.8962 3.9815 2.8154
```

***

Record 3
Ta2VTc: relaxed, PBE.

## Properties
V	16.00	Å³ per atom
ΔE_f	-108.8	kJ/mol of formula units
space group	No. 123
Fermi-level density of states	0.728	states/eV/atom
relative energy among the computed polymorphs	0.000	eV/atom
E_tot	-11.08	eV/atom
total magnetization	0.00	Bohr magnetons per cell

extended XYZ file:
```
4
Lattice="-0.1090 3.0875 -0.6718 -1.0114 0.6028 2.9342 6.0609 0.6400 1.9576" Properties=species:S:1:pos:R:3 pbc="T T T"
V 2.4702 2.1651 2.1100
Tc -0.5602 1.8451 1.1312
Ta 1.5166 0.1601 0.4899
Ta 4.5442 0.4798 1.4678
```

***

Record 4
Bi2OsAuS: relaxed, PBE.

## Properties
V	26.70	Å³ per atom
space group	No. 123
E_form (uncorrected)	0.48	eV per atom
Fermi-level density of states	0.678	states/eV/atom
E_tot	-4.80	eV/atom
total magnetization	0.00	Bohr magnetons per cell

extended XYZ file:
```
5
Lattice="-3.6497 -4.2173 0.6463 1.0456 -0.2773 4.0951 -4.0351 3.6882 1.2800" Properties=species:S:1:pos:R:3 pbc="T T T"
Os 0.0000 0.0000 0.0000
S 0.5228 -0.1387 2.0476
Au -3.3196 -0.4032 3.0107
Bi -1.8249 -2.1087 0.3231
Bi -2.0176 1.8441 0.6400
```

***

Record 5
Tb6YEr2Th3: relaxed, PBE.

## Properties
V	31.88	Å³ per atom
ΔE_f	30.3	kJ/mol of formula units
space group	No. 12
Fermi-level density of states	1.541	states/eV/atom
E_tot	-5.44	eV/atom
total magnetization	0.00	Bohr magnetons per cell

extended XYZ file:
```
12
Lattice="6.1746 0.0012 0.0056 -3.0847 5.3488 0.0056 -1.0406 -1.8019 11.5779" Properties=species:S:1:pos:R:3 pbc="T T T"
Er 0.0017 3.5663 0.0056
Er 3.0881 1.7837 0.0056
Th -2.0622 3.5568 5.7946
Th 4.1114 -0.0087 5.7946
Th 1.0246 1.7741 5.7946
Tb 2.0599 -0.0047 2.9343
Tb -0.0053 -0.0092 8.6497
Tb 3.0827 1.7663 8.6549
Tb 2.0545 3.5573 2.9395
Tb -1.0335 1.7818 2.9343
Tb -0.0107 3.5529 8.6549
Y 0.0000 0.0000 0.0000
```

***

Record 6
YAl3Ga: relaxed, PBE.

## Properties
V	34.94	Å³ per atom
ΔE_f	516.3	kJ/mol of formula units
space group	No. 221
Fermi-level density of states	1.166	states/eV/atom
relative energy among the computed polymorphs	0.962	eV/atom
E_tot	-3.07	eV/atom
total magnetization	0.00	Bohr magnetons per cell

extended XYZ file:
```
5
Lattice="5.5901 0.0000 0.0000 0.0000 5.5901 0.0000 0.0000 0.0000 5.5901" Properties=species:S:1:pos:R:3 pbc="T T T"
Ga 2.7950 2.7950 2.7950
Y 0.0000 0.0000 0.0000
Al 0.0000 2.7950 0.0000
Al 0.0000 0.0000 2.7950
Al 2.7950 0.0000 0.0000
```

***

Record 7
MgUSb2: relaxed, PBE.

## Properties
V	28.07	Å³ per atom
space group	No. 160
E_form (uncorrected)	-0.14	eV per atom
Fermi-level density of states	1.383	states/eV/atom
relative energy among the computed polymorphs	0.134	eV/atom
E_tot	-5.43	eV/atom
total magnetization	2.04	Bohr magnetons per cell

extended XYZ file:
```
4
Lattice="-2.2650 3.3844 -1.0452 -0.2478 1.2040 -4.0207 -6.7542 -2.7097 -2.5934" Properties=species:S:1:pos:R:3 pbc="T T T"
Sb -5.3638 -1.7135 -2.3808
Sb -2.2524 0.5158 -1.9050
U -4.6393 0.9352 -3.8306
Mg -8.3991 0.3708 -5.9661
```

***

Record 8
Mg3InPb3: relaxed, PBE.

## Properties
V	27.98	Å³ per atom
ΔE_f	21.6	kJ/mol of formula units
space group	No. 12
Fermi-level density of states	0.446	states/eV/atom
relative energy among the computed polymorphs	0.036	eV/atom
E_tot	-2.63	eV/atom
total magnetization	0.00	Bohr magnetons per cell

extended XYZ file:
```
14
Lattice="-4.7307 5.2121 -0.7929 -4.7510 -4.3984 2.8736 1.7862 2.7098 7.1127" Properties=species:S:1:pos:R:3 pbc="T T T"
Mg -1.8139 1.5895 4.1563
Mg -5.8815 1.9340 5.0370
Mg -4.7461 -2.0745 1.9870
Mg -4.7356 2.8882 0.0937
Mg -3.8429 4.0780 3.7130
Mg -3.8526 -0.5545 5.4803
Pb -1.9184 -1.4972 3.2621
Pb -5.7872 0.2270 7.7601
Pb 0.4621 0.7033 1.8460
Pb -8.1575 2.8202 7.3473
Pb -5.7771 5.0207 5.9313
Pb -1.9083 3.2965 1.4332
In -6.4451 0.5585 1.4284
In -1.2503 2.9650 7.7649
```

***

Record 9
CaLaSmGa: relaxed, PBE.

## Properties
V	29.57	Å³ per atom
ΔE_f	-52.8	kJ/mol of formula units
space group	No. 216
Fermi-level density of states	0.726	states/eV/atom
E_tot	-3.81	eV/atom
total magnetization	0.00	Bohr magnetons per cell

extended XYZ file:
```
4
Lattice="5.5100 0.0000 0.0000 2.7550 4.7718 0.0000 2.7550 1.5906 4.4989" Properties=species:S:1:pos:R:3 pbc="T T T"
Ca 8.2650 4.7718 3.3742
Ga 2.7550 1.5906 1.1247
La 0.0000 0.0000 0.0000
Sm 5.5100 3.1812 2.2495
```

***

Record 10
SrSbAs: relaxed, PBE.

## Properties
V	31.74	Å³ per atom
space group	No. 25
E_form (uncorrected)	-0.65	eV per atom
Fermi-level density of states	0.218	states/eV/atom
relative energy among the computed polymorphs	0.086	eV/atom
E_tot	-4.14	eV/atom
total magnetization	0.00	Bohr magnetons per cell

extended XYZ file:
```
3
Lattice="4.0967 0.0000 0.0000 0.0000 5.0190 0.0000 0.0000 0.0000 4.6303" Properties=species:S:1:pos:R:3 pbc="T T T"
Sr 0.0000 0.0000 2.9590
As 2.0483 2.5095 2.5736
Sb 0.0000 2.5095 0.6665
```

***

Record 11
BaBePCl2: relaxed, PBE.

## Properties
V	47.77	Å³ per atom
space group	No. 123
E_form (uncorrected)	0.09	eV per atom
Fermi-level density of states	0.852	states/eV/atom
relative energy among the computed polymorphs	1.064	eV/atom
E_tot	-2.86	eV/atom
total magnetization	2.38	Bohr magnetons per cell

extended XYZ file:
```
5
Lattice="5.9438 0.0000 0.0000 0.0000 5.9438 0.0000 0.0000 0.0000 6.7615" Properties=species:S:1:pos:R:3 pbc="T T T"
Be 2.9719 2.9719 3.3807
Cl 0.0000 2.9719 0.0000
Cl 2.9719 0.0000 0.0000
Ba 0.0000 0.0000 0.0000
P 0.0000 0.0000 3.3807
```

***

Record 12
Cs3CdCu2Br8: relaxed, PBE.

## Properties
V	37.42	Å³ per atom
space group	No. 164
E_form (uncorrected)	-1.05	eV per atom
Fermi-level density of states	0.973	states/eV/atom
E_tot	-2.84	eV/atom
total magnetization	1.17	Bohr magnetons per cell

extended XYZ file:
```
14
Lattice="-2.6424 -6.9169 -2.2795 7.0119 2.4030 -2.2543 4.0852 -4.2539 8.1724" Properties=species:S:1:pos:R:3 pbc="T T T"
Cs 6.4108 -3.4287 2.9726
Cs 2.0439 -5.3391 0.6660
Cs 0.0000 0.0000 0.0000
Br 7.8529 -4.9304 5.8576
Br 0.6017 -3.8374 -2.2190
Br 3.2139 -1.7380 1.5481
Br 5.2408 -7.0299 2.0905
Br 5.4185 -4.0155 -0.7394
Br 3.0362 -4.7524 4.3781
Br 1.7029 -8.2423 3.2279
Br 6.7517 -0.5255 0.4107
Cu 3.7460 -7.1115 4.0710
Cu 4.7087 -1.6563 -0.4324
Cd 2.0426 -2.1270 4.0862
```